(1)
Compound: NbBSeN2
Source: Alexandria via LeMat-Bulk
Functional: PBE
Structure: relaxed

a b c (Å): 3.600 3.600 4.308
angles (deg): 90.00 90.00 90.00
Space group P4/mmm (No. 123)
Unique sites:
Nb: 0.000 0.000 0.000 (multiplicity 1)
B: 0.500 0.500 0.500 (multiplicity 1)
Se: 0.500 0.500 0.000 (multiplicity 1)
N: 0.000 0.500 0.500 (multiplicity 2)

Results
uncorrected energy	-31.0	eV per cell
excess energy over the best structure of this formula in the dataset	75	meV per atom
total magnetization	0.00	μB/cell
calculated volume	55.8	Å³/cell
uncorrected formation energy	1.176	eV per atom


(2)
Compound: PmNd2Er2Tm
Source: Alexandria via LeMat-Bulk
Functional: PBE
Structure: relaxed

a b c (Å): 6.985 5.668 9.859
angles (deg): 90.00 90.00 90.00
Space group Pmma (No. 51)
Unique sites:
Pm: 0.000 0.000 0.000 (multiplicity 2)
Nd: 0.000 0.500 0.500 (multiplicity 2)
Nd: 0.250 0.000 0.330 (multiplicity 2)
Er: 0.250 0.000 0.666 (multiplicity 2)
Er: 0.250 0.500 0.167 (multiplicity 2)
Tm: 0.250 0.500 0.836 (multiplicity 2)

Results
uncorrected energy	-54.9	eV per cell
total magnetization	0.00	μB/cell
calculated formation energy	0.0718	eV/atom
calculated volume	390.3	Å³/cell


(3)
Compound: LiHgAu2
Source: Alexandria via LeMat-Bulk
Functional: PBE
Structure: relaxed

a b c (Å): 2.852 3.888 6.593
angles (deg): 90.00 90.00 90.00
Space group Pmmm (No. 47)
Unique sites:
Li: 0.000 0.000 0.000 (multiplicity 1)
Hg: 0.000 0.000 0.500 (multiplicity 1)
Au: 0.500 0.500 0.216 (multiplicity 2)

Results
uncorrected energy	-9.8	eV per cell
total magnetization	0.00	μB/cell
calculated formation energy	-0.2512	eV/atom
calculated volume	73.1	Å³/cell


(4)
Compound: Mn2CrSe
Source: Alexandria via LeMat-Bulk
Functional: PBE
Structure: relaxed

a b c (Å): 3.328 3.138 11.205
angles (deg): 90.00 90.00 90.00
Space group Amm2 (No. 38)
Unique sites:
Mn: 0.000 0.000 0.000 (multiplicity 2)
Mn: 0.500 0.000 0.362 (multiplicity 2)
Cr: 0.000 0.000 0.759 (multiplicity 2)
Se: 0.500 0.000 0.589 (multiplicity 2)

Results
uncorrected energy	-62.0	eV per cell
total magnetization	6.95	μB/cell
calculated volume	117.0	Å³/cell
uncorrected formation energy	0.118	eV per atom


(5)
Compound: ErSi2Ni2Pt
Source: Alexandria via LeMat-Bulk
Functional: PBE
Structure: relaxed

a b c (Å): 4.541 4.541 5.343
angles (deg): 90.00 90.00 90.00
Space group P4/mmm (No. 123)
Unique sites:
Er: 0.000 0.000 0.000 (multiplicity 1)
Si: 0.000 0.500 0.500 (multiplicity 2)
Ni: 0.500 0.500 0.259 (multiplicity 2)
Pt: 0.000 0.000 0.500 (multiplicity 1)

Results
uncorrected energy	-33.6	eV per cell
total magnetization	0.00	μB/cell
calculated volume	110.2	Å³/cell
uncorrected formation energy	-0.092	eV per atom


(6)
Compound: Hf3RePd
Source: Alexandria via LeMat-Bulk
Functional: PBE
Structure: relaxed

a b c (Å): 4.880 4.880 4.880
angles (deg): 90.00 90.00 90.00
Space group Pm-3m (No. 221)
Unique sites:
Hf: 0.000 0.000 0.500 (multiplicity 3)
Re: 0.500 0.500 0.500 (multiplicity 1)
Pd: 0.000 0.000 0.000 (multiplicity 1)

Results
uncorrected energy	-42.4	eV per cell
excess energy over the best structure of this formula in the dataset	396	meV per atom
total magnetization	0.00	μB/cell
calculated formation energy	1.0192	eV/atom
calculated volume	116.2	Å³/cell


(7)
Compound: CuRe2W
Source: Alexandria via LeMat-Bulk
Functional: PBE
Structure: relaxed

a b c (Å): 3.201 3.201 5.705
angles (deg): 90.00 90.00 90.00
Space group P4mm (No. 99)
Unique sites:
Cu: 0.000 0.000 0.000 (multiplicity 1)
Re: 0.000 0.000 0.497 (multiplicity 1)
Re: 0.500 0.500 0.228 (multiplicity 1)
W: 0.500 0.500 0.767 (multiplicity 1)

Results
uncorrected energy	-40.7	eV per cell
total magnetization	0.00	μB/cell
calculated formation energy	0.3193	eV/atom
calculated volume	58.5	Å³/cell


(8)
Compound: HoEr2Ni
Source: Alexandria via LeMat-Bulk
Functional: PBE
Structure: relaxed

a b c (Å): 3.7583 3.7583 26.4107
angles (deg): 90.00 90.00 120.00
Space group R3m (No. 160, hexagonal axes)
Unique sites:
Ho: 0.0000 0.0000 0.0000 (multiplicity 3)
Er: 0.0000 0.0000 0.5573 (multiplicity 3)
Er: 0.0000 0.0000 0.7721 (multiplicity 3)
Ni: 0.0000 0.0000 0.1639 (multiplicity 3)

Results
uncorrected energy	-59.7	eV per cell
excess energy over the best structure of this formula in the dataset	157	meV per atom
total magnetization	0.00	μB/cell
calculated formation energy	-0.1078	eV/atom
calculated volume	323.1	Å³/cell


(9)
Compound: SrLa2BeIr
Source: Alexandria via LeMat-Bulk
Functional: PBE
Structure: relaxed

a b c (Å): 5.230 5.230 5.427
angles (deg): 90.00 90.00 90.00
Space group P4/mmm (No. 123)
Unique sites:
Sr: 0.000 0.000 0.000 (multiplicity 1)
La: 0.000 0.500 0.500 (multiplicity 2)
Be: 0.000 0.000 0.500 (multiplicity 1)
Ir: 0.500 0.500 0.000 (multiplicity 1)

Results
uncorrected energy	-21.0	eV per cell
excess energy over the best structure of this formula in the dataset	743	meV per atom
total magnetization	0.00	μB/cell
calculated formation energy	0.6342	eV/atom
calculated volume	148.5	Å³/cell


(10)
Compound: Na2NbHgOs
Source: Alexandria via LeMat-Bulk
Functional: PBE
Structure: relaxed

a b c (Å): 5.724 5.724 5.374
angles (deg): 90.00 90.00 90.00
Space group P4/mmm (No. 123)
Unique sites:
Na: 0.000 0.500 0.000 (multiplicity 2)
Nb: 0.000 0.000 0.000 (multiplicity 1)
Hg: 0.000 0.000 0.500 (multiplicity 1)
Os: 0.500 0.500 0.500 (multiplicity 1)

Results
uncorrected energy	-12.7	eV per cell
total magnetization	7.27	μB/cell
calculated formation energy	2.3006	eV/atom
calculated volume	176.1	Å³/cell


(11)
Compound: Hf2AlTc2
Source: Alexandria via LeMat-Bulk
Functional: PBE
Structure: relaxed

a b c (Å): 4.291 4.291 11.063
angles (deg): 90.00 90.00 90.00
Space group I4/mmm (No. 139)
Unique sites:
Hf: 0.000 0.500 0.250 (multiplicity 4)
Al: 0.000 0.000 0.000 (multiplicity 2)
Tc: 0.000 0.000 0.393 (multiplicity 4)

Results
uncorrected energy	-84.8	eV per cell
excess energy over the best structure of this formula in the dataset	640	meV per atom
total magnetization	0.00	μB/cell
calculated formation energy	0.3940	eV/atom
calculated volume	203.7	Å³/cell


(12)
Compound: LiTc2Se
Source: Alexandria via LeMat-Bulk
Functional: PBE
Structure: relaxed

a b c (Å): 7.719 7.719 4.540
angles (deg): 90.00 90.00 90.00
Space group I-42d (No. 122)
Unique sites:
Li: 0.000 0.000 0.000 (multiplicity 4)
Tc: 0.178 0.250 0.625 (multiplicity 8)
Se: 0.000 0.000 0.500 (multiplicity 4)

Results
uncorrected energy	-98.1	eV per cell
total magnetization	0.00	μB/cell
calculated volume	270.5	Å³/cell
uncorrected formation energy	0.399	eV per atom


(13)
Compound: NaAlTc2C
Source: Alexandria via LeMat-Bulk
Functional: PBE
Structure: relaxed

a b c (Å): 4.621 4.621 4.536
angles (deg): 90.00 90.00 90.00
Space group P4/mmm (No. 123)
Unique sites:
Na: 0.000 0.000 0.000 (multiplicity 1)
Al: 0.000 0.000 0.500 (multiplicity 1)
Tc: 0.000 0.500 0.000 (multiplicity 2)
C: 0.500 0.500 0.500 (multiplicity 1)

Results
uncorrected energy	-18.5	eV per cell
excess energy over the best structure of this formula in the dataset	798	meV per atom
total magnetization	4.18	μB/cell
calculated formation energy	3.3108	eV/atom
calculated volume	96.8	Å³/cell


(14)
Compound: NaCu2SbSe4
Source: Alexandria via LeMat-Bulk
Functional: PBE
Structure: relaxed

a b c (Å): 6.135 6.135 11.070
angles (deg): 90.00 90.00 90.00
Space group I-42m (No. 121)
Unique sites:
Na: 0.000 0.000 0.000 (multiplicity 2)
Cu: 0.000 0.500 0.250 (multiplicity 4)
Sb: 0.000 0.000 0.500 (multiplicity 2)
Se: 0.232 0.232 0.648 (multiplicity 8)

Results
uncorrected energy	-60.6	eV per cell
total magnetization	0.00	μB/cell
calculated volume	416.6	Å³/cell
uncorrected formation energy	-0.343	eV per atom


(15)
Compound: BaS2Cl
Source: Alexandria via LeMat-Bulk
Functional: PBE
Structure: relaxed

a b c (Å): 9.293 13.985 4.960
angles (deg): 90.00 90.00 90.00
Space group C222_1 (No. 20)
Unique sites:
Ba: 0.235 0.000 0.000 (multiplicity 4)
S: 0.036 0.399 0.942 (multiplicity 8)
Cl: 0.000 0.116 0.250 (multiplicity 4)

Results
uncorrected energy	-67.6	eV per cell
excess energy over the best structure of this formula in the dataset	0	meV per atom
total magnetization	0.00	μB/cell
calculated volume	644.6	Å³/cell
uncorrected formation energy	-1.219	eV per atom